Sm2TmVO6 after structural relaxation. Source: the Alexandria database, functional PBE with a Hubbard U. Values from VASP.

```
&SYSTEM
  ibrav = 0, nat = 20, ntyp = 4
/
ATOMIC_SPECIES
Sm 150.36 Sm.upf
Tm 168.93 Tm.upf
V 50.94 V.upf
O 16.00 O.upf
ATOMIC_POSITIONS angstrom
Sm -0.0825 0.3523 2.0309
Sm -2.8110 2.5635 6.1018
Sm 2.9245 3.2681 2.0399
Sm 0.1961 5.4792 6.1108
Tm 2.7852 0.0000 0.0000
Tm 0.0568 2.9158 4.0709
V -2.7284 0.0000 4.0709
V 0.0000 2.9158 0.0000
O -4.4417 1.2012 7.6065
O -1.7132 1.7146 3.5357
O -3.8209 4.0223 7.6249
O -1.0925 4.7250 3.5540
O -2.0089 0.3008 6.0391
O 0.7196 2.6149 1.9683
O -0.6060 3.2166 6.1734
O 2.1224 5.5307 2.1026
O 1.2060 1.1066 4.5877
O 3.9344 1.8092 0.5168
O 1.8268 4.1169 4.6061
O 4.5552 4.6304 0.5352
CELL_PARAMETERS angstrom
5.5704 0.0000 0.0000
0.0000 5.8315 0.0000
-5.4569 0.0000 8.1417
```

## Properties
Final energy, eV for the cell shown: -165.05
Crystal system: monoclinic
Space-group type: P2_1/c (14)